Record 1
Here is an optimized crystal structure of NaNbB4 from OQMD. Energies are from PBE.

Output
Spin magnetization   0.002 μB per formula unit
ΔE to the lowest computed polymorph   0.200 eV per atom

Unit cell a=3.065 b=5.363 c=7.070 alpha=90.00 beta=90.00 gamma=90.00
Space group Immm (No. 71)
One atom of each set of equivalent atoms:
1 Na 0.000 0.000 0.000 x2
2 Nb 0.000 0.000 0.500 x2
3 B 0.000 0.329 0.243 x8



Record 2
Here is an optimized crystal structure of NaLiGd from OQMD. Energies are from PBE.

Output
Spin magnetization   0.104 μB per formula unit
ΔE to the lowest computed polymorph   0.000 eV per atom

Unit cell a=7.182 b=7.182 c=7.182 alpha=90.00 beta=90.00 gamma=90.00
Space group F-43m (No. 216)
One atom of each set of equivalent atoms:
1 Na 0.000 0.000 0.000 x4
2 Li 0.250 0.250 0.750 x4
3 Gd 0.000 0.000 0.500 x4



Record 3
Here is an optimized crystal structure of HfTaZn2Co2Ir2 from OQMD. Energies are from PBE.

Output
Calculated total energy   -0.5506 Ry/atom
Spin magnetization   1.037 μB per formula unit

Unit cell a=4.344 b=4.344 c=6.153 alpha=90.00 beta=90.00 gamma=90.00
Space group P-4m2 (No. 115)
One atom of each set of equivalent atoms:
1 Hf 0.000 0.000 0.000 x1
2 Ta 0.500 0.500 0.500 x1
3 Zn 0.000 0.000 0.500 x1
4 Zn 0.500 0.500 0.000 x1
5 Co 0.000 0.500 0.743 x2
6 Ir 0.000 0.500 0.257 x2



What is the formula in the second record? NaLiGd



What is the spin magnetization in the second record? 0.104 μB per formula unit



Among the records above, which one has the highest spin magnetization? HfTaZn2Co2Ir2